The following is a PBE calculation of a geometry-optimized TlMo2As structure, from Alexandria.

The structure belongs to space group Immm (No. 71); the cell edges are 3.218, 5.127 and 8.780 Å and the angles 90.00°, 90.00° and 90.00°. The asymmetric unit holds Tl at (0.000, 0.000, 0.000), Mo at (0.000, 0.500, 0.217) and As at (0.000, 0.000, 0.500).

The formation energy comes out at 0.5290 eV/atom. The value obtained for the energy above the most stable polymorph in this dataset is 0.3280 eV per atom.